Below is crystalline SrTaNO2 at its relaxed geometry, with properties calculated at the GGA-PBE level.

Cell lengths 5.7308, 5.7308, 5.7620 Å; angles 120.12, 120.12, 89.21 degrees
With the nearest neighbours (Å) after each atom.
Sites, in units of the cell vectors:
Sr: 0.2462 0.2462 0.4966  4 O 2.61-2.88, 2 N 2.77-2.79
Sr: 0.7538 0.7538 0.5034  4 O 2.61-2.88, 2 N 2.77-2.79
Ta: 0.0202 0.5124 0.0164  2 N 1.98, 4 O 1.99-2.13
Ta: 0.4876 0.9798 0.9836  2 N 1.98, 4 O 1.99-2.13
N: 0.2348 0.7652 0.0000  2 Ta 1.98
N: 0.2383 0.7617 0.5000  2 Ta 1.98
O: 0.3161 0.2920 0.0502  2 Ta 1.99-2.09
O: 0.7080 0.6839 0.9498  2 Ta 1.99-2.09
O: 0.7919 0.2082 0.5000  2 Ta 2.13
O: 0.7951 0.2049 0.0000  2 Ta 2.13

Calculated values
* M_tot: 0.00 μB per cell
* V: 134.2 Å³ per cell
* total energy: -8.759 eV/atom